[1]
Here is a relaxed structure of Tb6Tl2Si from Alexandria via LeMat-Bulk. Energies are from PBE.

The structure belongs to space group P-62m (No. 189); the cell edges are 8.4830, 8.4830 and 4.0910 Å and the angles 90.00°, 90.00° and 120.00°. Symmetry generates all atoms from Tb at (0.0000, 0.2512, 0.0000), Tb at (0.0000, 0.6066, 0.5000), Tl at (0.3333, 0.6667, 0.0000) and Si at (0.0000, 0.0000, 0.5000).

As for the total energy: -4.58 eV per atom. As for the density of states at the Fermi level: 10.027 states/eV/f.u. Its formation energy without anion corrections is -0.36 eV/atom.

---

[2]
Here is a relaxed structure of TbTlSi from Alexandria via LeMat-Bulk. Energies are from PBE.

The structure belongs to space group Cmcm (No. 63); the cell edges are 4.236, 18.815 and 3.802 Å and the angles 90.00°, 90.00° and 90.00°. Symmetry generates all atoms from Tb at (0.000, 0.082, 0.250), Tl at (0.000, 0.289, 0.750) and Si at (0.000, 0.460, 0.250).

As for the total energy: -4.57 eV per atom. As for the density of states at the Fermi level: 1.179 states/eV/f.u. Its formation energy without anion corrections is -0.43 eV/atom.

---

Question: Which of these has the highest formation energy without anion corrections?
Answer: Tb6Tl2Si

---

Question: Which of these has the highest formation energy without anion corrections?
Answer: Tb6Tl2Si

---

Question: Look up the formation energy without anion corrections of the second one.
Answer: -0.43 eV/atom

---

Question: Among the records above, which one has the highest formation energy without anion corrections?
Answer: Tb6Tl2Si